[1]
BeVAg: relaxed, PBE-GGA.

Geometry as POSCAR:
```
BeVAg
1.0
-1.3961 -1.4269 -4.7611
0.1975 -4.6488 1.3353
-6.2707 0.2410 1.7665
V Be Ag
4 4 4
Cartesian
-5.9046 -3.9936 0.1317
-1.5647 -1.8411 -1.7911
-2.1712 -1.0775 0.9570
-5.2981 -4.7572 -2.6163
-3.7346 -2.9173 -0.8297
0.0987 -2.3244 0.6677
-3.8334 -0.5929 -1.4973
0.0000 0.0000 0.0000
-5.0025 -1.3380 0.4691
-5.7006 -2.0514 -1.9115
-2.4668 -4.4967 -2.1284
-1.7687 -3.7833 0.2522
```

Results
ΔH_f (0 K) = 107 kJ/mol of formula units
Energy relative to the lowest polymorph listed for this composition = 262 meV/atom

[2]
SiTePt2: relaxed, PBE-GGA.

Geometry as POSCAR:
```
SiTePt2
1.0
4.6528 -0.0091 0.0316
-1.6748 4.3462 0.0482
1.6625 1.9863 3.8736
Te Pt Si
1 2 1
Cartesian
3.1576 0.9886 1.9526
0.0000 0.0000 0.0000
-0.0061 3.1663 1.9609
1.4890 2.1685 0.0399
```

Results
Formation energy from raw total energies = -23 meV per atom
Energy relative to the lowest polymorph listed for this composition = 366 meV/atom

[3]
Tb2PuCd6: relaxed, PBE-GGA.

Geometry as POSCAR:
```
Tb2PuCd6
1.0
-2.5012 2.1174 -0.3723
1.6674 3.3622 7.9354
5.5749 6.7291 0.8330
Cd Pu Tb
6 1 2
Cartesian
4.8802 8.9163 3.3046
3.0156 6.6601 3.0256
2.2817 6.6772 8.0278
2.4595 5.5315 0.3682
1.7256 5.5485 5.3705
-0.1390 3.2924 5.0914
0.0000 0.0000 0.0000
2.4139 3.3636 2.9226
2.3273 8.8450 5.4734
```

Results
ΔH_f (0 K) = -208 kJ/mol of formula units